1.
## IrPdF3 (PBE)

Data for a relaxed structure of IrPdF3.

SG = Pm-3m (221)
Energy relative to the elements, uncorrected = -0.291 eV per atom
Electronic total energy = -4.22 eV per atom
Density of states at the Fermi level = 11.50 states/eV/cell
Polymorph energy (0 for the lowest one) = 0 meV/atom

Lattice parameters (Å, degrees): 4.190 4.190 4.190 90.00 90.00 90.00
Atoms (fractional coordinates):
Ir 0.000 0.000 0.000
Pd 0.500 0.500 0.500
F 0.000 0.000 0.500
F 0.000 0.500 0.000
F 0.500 0.000 0.000

=====

2.
## ErTiAl4 (PBE)

Data for a relaxed structure of ErTiAl4.

SG = F-43m (216)
Formation energy from the elements = -0.389 eV/atom
Electronic total energy = -4.96 eV per atom
Density of states at the Fermi level = 3.07 states/eV/cell
Polymorph energy (0 for the lowest one) = 0 meV/atom

Lattice parameters (Å, degrees): 5.346 5.346 5.346 60.00 60.00 60.00
Atoms (fractional coordinates):
Er 0.000 0.000 0.000
Ti 0.750 0.750 0.750
Al 0.375 0.375 0.375
Al 0.375 0.375 0.874
Al 0.375 0.874 0.375
Al 0.874 0.375 0.375

=====

3.
## AcTb2HoEr5 (PBE)

Data for a relaxed structure of AcTb2HoEr5.

SG = I4/mcm (140)
Formation energy from the elements = 0.280 eV/atom
Electronic total energy = -4.25 eV per atom
Density of states at the Fermi level = 21.26 states/eV/cell

Lattice parameters (Å, degrees): 9.778 9.778 9.778 125.74 125.74 80.31
Atoms (fractional coordinates):
Ac 0.250 0.250 0.000
Ac 0.750 0.750 0.000
Tb 0.113 0.613 0.727
Tb 0.387 0.113 0.500
Tb 0.613 0.887 0.500
Tb 0.887 0.387 0.273
Ho 0.250 0.750 0.500
Ho 0.750 0.250 0.500
Er 0.000 0.000 0.000
Er 0.076 0.168 0.500
Er 0.168 0.668 0.092
Er 0.332 0.424 0.500
Er 0.424 0.924 0.092
Er 0.500 0.500 0.000
Er 0.576 0.076 0.908
Er 0.668 0.576 0.500
Er 0.832 0.332 0.908
Er 0.924 0.832 0.500

=====

4.
## TiZnRe3 (PBE)

Data for a relaxed structure of TiZnRe3.

SG = Pm-3m (221)
Formation energy from the elements = 1.929 eV/atom
Electronic total energy = -7.37 eV per atom
Density of states at the Fermi level = 7.25 states/eV/cell
Polymorph energy (0 for the lowest one) = 191 meV/atom

Lattice parameters (Å, degrees): 4.556 4.556 4.556 90.00 90.00 90.00
Atoms (fractional coordinates):
Ti 0.000 0.000 0.000
Zn 0.500 0.500 0.500
Re 0.000 0.000 0.500
Re 0.000 0.500 0.000
Re 0.500 0.000 0.000

=====

5.
## CeZnPd2 (PBE)

Data for a relaxed structure of CeZnPd2.

SG = Pnma (62)
Formation energy from the elements = -0.667 eV/atom
Electronic total energy = -5.07 eV per atom
Density of states at the Fermi level = 24.91 states/eV/cell

Lattice parameters (Å, degrees): 7.317 7.182 5.776 90.00 90.00 90.00
Atoms (fractional coordinates):
Ce 0.030 0.250 0.147
Ce 0.470 0.750 0.647
Ce 0.530 0.250 0.353
Ce 0.970 0.750 0.853
Zn 0.112 0.750 0.349
Zn 0.388 0.250 0.849
Zn 0.612 0.750 0.151
Zn 0.888 0.250 0.651
Pd 0.189 0.050 0.578
Pd 0.189 0.450 0.578
Pd 0.311 0.550 0.078
Pd 0.311 0.950 0.078
Pd 0.689 0.050 0.922
Pd 0.689 0.450 0.922
Pd 0.811 0.550 0.422
Pd 0.811 0.950 0.422

=====

6.
## MgSe2O6 (PBE)

Data for a relaxed structure of MgSe2O6.

SG = P-3m1 (164)
Energy relative to the elements, uncorrected = -0.919 eV per atom
Electronic total energy = -5.18 eV per atom
Density of states at the Fermi level = 2.74 states/eV/cell

Lattice parameters (Å, degrees): 5.759 5.759 5.860 90.00 90.00 120.00
Atoms (fractional coordinates):
Mg 0.000 0.000 0.000
Se 0.333 0.667 0.282
Se 0.667 0.333 0.718
O 0.174 0.348 0.195
O 0.174 0.826 0.195
O 0.348 0.174 0.805
O 0.652 0.826 0.195
O 0.826 0.174 0.805
O 0.826 0.652 0.805

=====

7.
## LiHf3Tl3Se8 (PBE)

Data for a relaxed structure of LiHf3Tl3Se8.

SG = R-3m (166)
Energy relative to the elements, uncorrected = -1.018 eV per atom
Electronic total energy = -5.47 eV per atom

Lattice parameters (Å, degrees): 9.002 9.002 9.002 51.25 51.25 51.25
Atoms (fractional coordinates):
Li 0.000 0.000 0.000
Hf 0.000 0.500 0.500
Hf 0.500 0.000 0.500
Hf 0.500 0.500 0.000
Tl 0.000 0.000 0.500
Tl 0.000 0.500 0.000
Tl 0.500 0.000 0.000
Se 0.236 0.236 0.720
Se 0.236 0.720 0.236
Se 0.267 0.267 0.267
Se 0.280 0.764 0.764
Se 0.720 0.236 0.236
Se 0.733 0.733 0.733
Se 0.764 0.280 0.764
Se 0.764 0.764 0.280

=====

8.
## LiHf3Zn4 (PBE)

Data for a relaxed structure of LiHf3Zn4.

SG = P4/mmm (123)
Formation energy from the elements = -0.170 eV/atom
Electronic total energy = -4.78 eV per atom
Density of states at the Fermi level = 3.69 states/eV/cell

Lattice parameters (Å, degrees): 3.110 3.110 14.244 90.00 90.00 90.00
Atoms (fractional coordinates):
Li 0.000 0.000 0.000
Hf 0.000 0.000 0.237
Hf 0.000 0.000 0.500
Hf 0.000 0.000 0.763
Zn 0.500 0.500 0.106
Zn 0.500 0.500 0.369
Zn 0.500 0.500 0.631
Zn 0.500 0.500 0.894

=====

9.
## EuHPd (PBE)

Data for a relaxed structure of EuHPd.

SG = Pbca (61)
Electronic total energy = -6.82 eV per atom
Density of states at the Fermi level = 82.07 states/eV/cell
Polymorph energy (0 for the lowest one) = 0 meV/atom

Lattice parameters (Å, degrees): 5.849 11.529 6.108 90.00 90.00 90.00
Atoms (fractional coordinates):
Eu 0.105 0.141 0.076
Eu 0.105 0.359 0.576
Eu 0.395 0.641 0.076
Eu 0.395 0.859 0.576
Eu 0.605 0.141 0.424
Eu 0.605 0.359 0.924
Eu 0.895 0.641 0.424
Eu 0.895 0.859 0.924
H 0.188 0.688 0.714
H 0.188 0.812 0.214
H 0.312 0.188 0.714
H 0.312 0.312 0.214
H 0.688 0.688 0.786
H 0.688 0.812 0.286
H 0.812 0.188 0.786
H 0.812 0.312 0.286
Pd 0.121 0.085 0.597
Pd 0.121 0.415 0.097
Pd 0.379 0.585 0.597
Pd 0.379 0.915 0.097
Pd 0.621 0.085 0.903
Pd 0.621 0.415 0.403
Pd 0.879 0.585 0.903
Pd 0.879 0.915 0.403

=====

10.
## ZrTiCd4 (PBE)

Data for a relaxed structure of ZrTiCd4.

SG = Cmmm (65)
Formation energy from the elements = -0.054 eV/atom
Electronic total energy = -3.40 eV per atom
Density of states at the Fermi level = 9.03 states/eV/cell
Polymorph energy (0 for the lowest one) = 0 meV/atom

Lattice parameters (Å, degrees): 4.358 13.052 4.363 90.00 90.00 90.00
Atoms (fractional coordinates):
Zr 0.000 0.000 0.000
Zr 0.500 0.500 0.000
Ti 0.000 0.500 0.500
Ti 0.500 0.000 0.500
Cd 0.000 0.164 0.500
Cd 0.000 0.335 0.000
Cd 0.000 0.665 0.000
Cd 0.000 0.836 0.500
Cd 0.500 0.165 0.000
Cd 0.500 0.336 0.500
Cd 0.500 0.664 0.500
Cd 0.500 0.835 0.000

=====

11.
## Sm8Y4Th3 (PBE)

Data for a relaxed structure of Sm8Y4Th3.

SG = C2/m (12)
Formation energy from the elements = 0.383 eV/atom
Electronic total energy = -5.34 eV per atom
Density of states at the Fermi level = 27.37 states/eV/cell

Lattice parameters (Å, degrees): 9.273 9.273 6.850 111.42 111.42 82.40
Atoms (fractional coordinates):
Sm 0.203 0.203 0.210
Sm 0.205 0.795 0.000
Sm 0.252 0.748 0.500
Sm 0.253 0.253 0.748
Sm 0.747 0.747 0.252
Sm 0.748 0.252 0.500
Sm 0.795 0.205 0.000
Sm 0.797 0.797 0.790
Y 0.000 0.500 0.000
Y 0.500 0.000 0.000
Y 0.500 0.500 0.000
Y 0.500 0.500 0.500
Th 0.000 0.000 0.500
Th 0.000 0.500 0.500
Th 0.500 0.000 0.500

=====

12.
## Pa2ZnNi12H3 (PBE)

Data for a relaxed structure of Pa2ZnNi12H3.

SG = R-3m (166)
Electronic total energy = -5.69 eV per atom
Density of states at the Fermi level = 11.69 states/eV/cell

Lattice parameters (Å, degrees): 6.719 6.719 6.719 58.56 58.56 58.56
Atoms (fractional coordinates):
Pa 0.098 0.098 0.098
Pa 0.902 0.902 0.902
Zn 0.500 0.500 0.500
Ni 0.040 0.648 0.648
Ni 0.224 0.224 0.601
Ni 0.224 0.601 0.224
Ni 0.352 0.352 0.960
Ni 0.352 0.960 0.352
Ni 0.399 0.776 0.776
Ni 0.601 0.224 0.224
Ni 0.648 0.040 0.648
Ni 0.648 0.648 0.040
Ni 0.776 0.399 0.776
Ni 0.776 0.776 0.399
Ni 0.960 0.352 0.352
H 0.000 0.500 0.500
H 0.500 0.000 0.500
H 0.500 0.500 0.000

=====

13.
## Sn2Bi2Pb7 (PBE)

Data for a relaxed structure of Sn2Bi2Pb7.

SG = Imm2 (44)
Formation energy from the elements = 0.049 eV/atom
Electronic total energy = -3.74 eV per atom
Density of states at the Fermi level = 5.18 states/eV/cell
Polymorph energy (0 for the lowest one) = 0 meV/atom

Lattice parameters (Å, degrees): 9.299 9.299 9.299 146.75 65.28 125.59
Atoms (fractional coordinates):
Sn 0.000 0.000 0.000
Sn 0.714 0.214 0.500
Bi 0.261 0.978 0.282
Bi 0.696 0.978 0.718
Pb 0.126 0.274 0.852
Pb 0.133 0.493 0.640
Pb 0.308 0.808 0.500
Pb 0.422 0.274 0.148
Pb 0.564 0.699 0.865
Pb 0.834 0.699 0.135
Pb 0.853 0.493 0.360

=====

14.
## Pm5Th2Sn4 (PBE)

Data for a relaxed structure of Pm5Th2Sn4.

SG = Immm (71)
Formation energy from the elements = -0.355 eV/atom
Electronic total energy = -5.32 eV per atom
Density of states at the Fermi level = 10.64 states/eV/cell

Lattice parameters (Å, degrees): 11.542 11.542 11.542 157.86 139.14 46.96
Atoms (fractional coordinates):
Pm 0.000 0.000 0.000
Pm 0.077 0.338 0.740
Pm 0.402 0.662 0.740
Pm 0.598 0.338 0.260
Pm 0.923 0.662 0.260
Th 0.429 0.929 0.500
Th 0.571 0.071 0.500
Sn 0.270 0.500 0.770
Sn 0.281 0.781 0.500
Sn 0.719 0.219 0.500
Sn 0.730 0.500 0.230

=====

15.
## Ac2AsF (PBE)

Data for a relaxed structure of Ac2AsF.

SG = R-3m (166)
Energy relative to the elements, uncorrected = -1.908 eV per atom
Electronic total energy = -5.59 eV per atom
Density of states at the Fermi level = 5.85 states/eV/cell
Polymorph energy (0 for the lowest one) = 0 meV/atom

Lattice parameters (Å, degrees): 4.291 4.291 20.642 90.00 90.00 120.00
Atoms (fractional coordinates):
Ac 0.000 0.000 0.244
Ac 0.000 0.000 0.756
Ac 0.333 0.667 0.422
Ac 0.333 0.667 0.911
Ac 0.667 0.333 0.089
Ac 0.667 0.333 0.578
As 0.000 0.000 0.000
As 0.333 0.667 0.667
As 0.667 0.333 0.333
F 0.000 0.000 0.500
F 0.333 0.667 0.167
F 0.667 0.333 0.833

=====

16.
## NbOsRh3 (PBE)

Data for a relaxed structure of NbOsRh3.

SG = Pm-3m (221)
Formation energy from the elements = 1.463 eV/atom
Electronic total energy = -7.21 eV per atom
Density of states at the Fermi level = 10.89 states/eV/cell
Polymorph energy (0 for the lowest one) = 0 meV/atom

Lattice parameters (Å, degrees): 4.654 4.654 4.654 90.00 90.00 90.00
Atoms (fractional coordinates):
Nb 0.000 0.000 0.000
Os 0.500 0.500 0.500
Rh 0.000 0.500 0.500
Rh 0.500 0.000 0.500
Rh 0.500 0.500 0.000

=====

17.
## ThPa2S3 (PBE)

Data for a relaxed structure of ThPa2S3.

SG = I4/mmm (139)
Energy relative to the elements, uncorrected = -1.665 eV per atom
Electronic total energy = -8.13 eV per atom
Density of states at the Fermi level = 17.20 states/eV/cell

Lattice parameters (Å, degrees): 3.949 3.949 16.737 90.00 90.00 90.00
Atoms (fractional coordinates):
Th 0.000 0.000 0.000
Th 0.500 0.500 0.500
Pa 0.000 0.000 0.333
Pa 0.000 0.000 0.667
Pa 0.500 0.500 0.167
Pa 0.500 0.500 0.833
S 0.000 0.000 0.169
S 0.000 0.000 0.500
S 0.000 0.000 0.831
S 0.500 0.500 0.000
S 0.500 0.500 0.331
S 0.500 0.500 0.669

=====

18.
## CdCu2Pt (PBE)

Data for a relaxed structure of CdCu2Pt.

SG = R-3m (166)
Formation energy from the elements = -0.029 eV/atom
Electronic total energy = -3.82 eV per atom
Density of states at the Fermi level = 2.71 states/eV/cell

Lattice parameters (Å, degrees): 2.805 2.805 26.648 90.00 90.00 120.00
Atoms (fractional coordinates):
Cd 0.000 0.000 0.000
Cd 0.333 0.667 0.667
Cd 0.667 0.333 0.333
Cu 0.000 0.000 0.246
Cu 0.000 0.000 0.754
Cu 0.333 0.667 0.420
Cu 0.333 0.667 0.913
Cu 0.667 0.333 0.087
Cu 0.667 0.333 0.580
Pt 0.000 0.000 0.500
Pt 0.333 0.667 0.167
Pt 0.667 0.333 0.833

=====

19.
## BiSb2IO (PBE)

Data for a relaxed structure of BiSb2IO.

SG = P4/mmm (123)
Energy relative to the elements, uncorrected = 1.270 eV per atom
Electronic total energy = -2.46 eV per atom
Density of states at the Fermi level = 15.44 states/eV/cell
Polymorph energy (0 for the lowest one) = 1110 meV/atom

Lattice parameters (Å, degrees): 5.916 5.916 5.994 90.00 90.00 90.00
Atoms (fractional coordinates):
Bi 0.000 0.000 0.000
Sb 0.000 0.500 0.000
Sb 0.500 0.000 0.000
I 0.000 0.000 0.500
O 0.500 0.500 0.500

=====

20.
## SrSnGeBr6 (PBE)

Data for a relaxed structure of SrSnGeBr6.

SG = P4_2nm (102)
Energy relative to the elements, uncorrected = -1.120 eV per atom
Electronic total energy = -3.38 eV per atom
Density of states at the Fermi level = 0.00 states/eV/cell

Lattice parameters (Å, degrees): 6.992 6.992 13.358 90.00 90.00 90.00
Atoms (fractional coordinates):
Sr 0.000 0.000 0.000
Sr 0.500 0.500 0.500
Sn 0.000 0.000 0.668
Sn 0.500 0.500 0.168
Ge 0.000 0.000 0.332
Ge 0.500 0.500 0.832
Br 0.190 0.190 0.493
Br 0.195 0.195 0.179
Br 0.210 0.210 0.830
Br 0.290 0.710 0.330
Br 0.305 0.695 0.679
Br 0.310 0.690 0.993
Br 0.690 0.310 0.993
Br 0.695 0.305 0.679
Br 0.710 0.290 0.330
Br 0.790 0.790 0.830
Br 0.805 0.805 0.179
Br 0.810 0.810 0.493